Entry from Alexandria via LeMat-Bulk: a relaxed structure of AcTl2CoO6 (PBE+U).

Structure (CIF):
```
data_AcTl2CoO6
_space_group_name_H-M_alt 'R 3'
_space_group_IT_number 146
_space_group_name_Hall 'R 3'
_cell_length_a 5.7146
_cell_length_b 5.7146
_cell_length_c 15.2699
_cell_angle_alpha 90.00
_cell_angle_beta 90.00
_cell_angle_gamma 120.00
loop_
_atom_site_label
_atom_site_type_symbol
_atom_site_fract_x
_atom_site_fract_y
_atom_site_fract_z
Ac1 Ac 0.0000 0.0000 0.0000
Tl1 Tl 0.0000 0.0000 0.2179
Tl2 Tl 0.0000 0.0000 0.7394
Co1 Co 0.0000 0.0000 0.5226
O1 O 0.0520 0.3554 0.1179
O2 O 0.0790 0.6789 0.2676
```

Calculated values
Energy in eV/cell: -169.78
Total magnetization in μB/cell: 0.00

=====

Entry from Alexandria via LeMat-Bulk: a relaxed structure of Ac3Tl3CoO8 (PBE+U).

Structure (CIF):
```
data_Ac3Tl3CoO8
_space_group_name_H-M_alt 'P -1'
_space_group_IT_number 2
_space_group_name_Hall '-P 1'
_cell_length_a 7.397
_cell_length_b 7.402
_cell_length_c 7.540
_cell_angle_alpha 61.16
_cell_angle_beta 61.22
_cell_angle_gamma 61.02
loop_
_atom_site_label
_atom_site_type_symbol
_atom_site_fract_x
_atom_site_fract_y
_atom_site_fract_z
Ac1 Ac 0.000 0.000 0.000
Ac2 Ac 0.000 0.500 0.000
Ac3 Ac 0.500 0.000 0.000
Tl1 Tl 0.000 0.500 0.500
Tl2 Tl 0.500 0.000 0.500
Tl3 Tl 0.500 0.500 0.500
Co1 Co 0.500 0.500 0.000
O1 O 0.232 0.233 0.808
O2 O 0.253 0.720 0.809
O3 O 0.278 0.748 0.193
O4 O 0.318 0.318 0.154
```

Calculated values
Energy in eV/cell: -90.91
Total magnetization in μB/cell: 4.92

=====

Entry from Alexandria via LeMat-Bulk: a relaxed structure of Ac6Tl2CoO (PBE+U).

Structure (CIF):
```
data_Ac6Tl2CoO
_space_group_name_H-M_alt 'P 4/m m m'
_space_group_IT_number 123
_space_group_name_Hall '-P 4 2'
_cell_length_a 5.403
_cell_length_b 5.403
_cell_length_c 11.181
_cell_angle_alpha 90.00
_cell_angle_beta 90.00
_cell_angle_gamma 90.00
loop_
_atom_site_label
_atom_site_type_symbol
_atom_site_fract_x
_atom_site_fract_y
_atom_site_fract_z
Ac1 Ac 0.000 0.000 0.244
Ac2 Ac 0.000 0.500 0.000
Ac3 Ac 0.000 0.500 0.500
Tl1 Tl 0.500 0.500 0.231
Co1 Co 0.000 0.000 0.500
O1 O 0.000 0.000 0.000
```

Calculated values
Energy in eV/cell: -44.93
Total magnetization in μB/cell: 0.00

=====

Entry from Alexandria via LeMat-Bulk: a relaxed structure of AcTm4Co3O12 (PBE+U).

Structure (CIF):
```
data_AcTm4Co3O12
_space_group_name_H-M_alt 'I m -3'
_space_group_IT_number 204
_space_group_name_Hall '-I 2 2 3'
_cell_length_a 8.041
_cell_length_b 8.041
_cell_length_c 8.041
_cell_angle_alpha 90.00
_cell_angle_beta 90.00
_cell_angle_gamma 90.00
loop_
_atom_site_label
_atom_site_type_symbol
_atom_site_fract_x
_atom_site_fract_y
_atom_site_fract_z
Ac1 Ac 0.000 0.000 0.000
Tm1 Tm 0.250 0.250 0.250
Co1 Co 0.000 0.000 0.500
O1 O 0.000 0.155 0.320
```

Calculated values
Energy in eV/cell: -292.85
Total magnetization in μB/cell: 12.14

=====

Entry from Alexandria via LeMat-Bulk: a relaxed structure of Ac2UCo3O12 (PBE+U).

Structure (CIF):
```
data_Ac2UCo3O12
_space_group_name_H-M_alt 'R -3 m'
_space_group_IT_number 166
_space_group_name_Hall '-R 3 2"'
_cell_length_a 6.7822
_cell_length_b 6.7822
_cell_length_c 15.9509
_cell_angle_alpha 90.00
_cell_angle_beta 90.00
_cell_angle_gamma 120.00
loop_
_atom_site_label
_atom_site_type_symbol
_atom_site_fract_x
_atom_site_fract_y
_atom_site_fract_z
Ac1 Ac 0.0000 0.0000 0.1126
U1 U 0.0000 0.0000 0.5000
Co1 Co 0.0000 0.5000 0.0000
O1 O 0.0323 0.5162 0.8816
O2 O 0.0678 0.5339 0.3056
```

Calculated values
Energy in eV/cell: -383.32
Total magnetization in μB/cell: 9.07

=====

Entry from Alexandria via LeMat-Bulk: a relaxed structure of AcUCoO6 (PBE+U).

Structure (CIF):
```
data_AcUCoO6
_space_group_name_H-M_alt 'P -3 1 c'
_space_group_IT_number 163
_space_group_name_Hall '-P 3 2c'
_cell_length_a 5.8905
_cell_length_b 5.8905
_cell_length_c 8.4736
_cell_angle_alpha 90.00
_cell_angle_beta 90.00
_cell_angle_gamma 120.00
loop_
_atom_site_label
_atom_site_type_symbol
_atom_site_fract_x
_atom_site_fract_y
_atom_site_fract_z
Ac1 Ac 0.3333 0.6667 0.2500
U1 U 0.3333 0.6667 0.7500
Co1 Co 0.0000 0.0000 0.0000
O1 O 0.0598 0.3460 0.6170
```

Calculated values
Energy in eV/cell: -141.70
Total magnetization in μB/cell: 7.90

=====

Entry from Alexandria via LeMat-Bulk: a relaxed structure of AcCo2WO8 (PBE+U).

Structure (CIF):
```
data_AcCo2WO8
_space_group_name_H-M_alt 'I -4 m 2'
_space_group_IT_number 119
_space_group_name_Hall 'I -4 -2'
_cell_length_a 7.059
_cell_length_b 7.059
_cell_length_c 6.388
_cell_angle_alpha 90.00
_cell_angle_beta 90.00
_cell_angle_gamma 90.00
loop_
_atom_site_label
_atom_site_type_symbol
_atom_site_fract_x
_atom_site_fract_y
_atom_site_fract_z
Ac1 Ac 0.000 0.000 0.000
Co1 Co 0.000 0.000 0.500
Co2 Co 0.000 0.500 0.250
W1 W 0.000 0.500 0.750
O1 O 0.000 0.219 0.675
O2 O 0.000 0.342 0.037
```

Calculated values
Energy in eV/cell: -160.06
Total magnetization in μB/cell: 10.05

=====

Entry from Alexandria via LeMat-Bulk: a relaxed structure of AcCoWO6 (PBE+U).

Structure (CIF):
```
data_AcCoWO6
_space_group_name_H-M_alt 'P 3 1 2'
_space_group_IT_number 149
_space_group_name_Hall 'P 3 2'
_cell_length_a 5.1502
_cell_length_b 5.1502
_cell_length_c 5.4089
_cell_angle_alpha 90.00
_cell_angle_beta 90.00
_cell_angle_gamma 120.00
loop_
_atom_site_label
_atom_site_type_symbol
_atom_site_fract_x
_atom_site_fract_y
_atom_site_fract_z
Ac1 Ac 0.0000 0.0000 0.0000
Co1 Co 0.6667 0.3333 0.5000
W1 W 0.3333 0.6667 0.5000
O1 O 0.3799 0.0012 0.7026
```

Calculated values
Energy in eV/cell: -65.90
Total magnetization in μB/cell: 0.00

=====

The lowest energy belongs to which entry?
Ac2UCo3O12